1.
PaCu5Ag | PBE-GGA | relaxed Values from VASP.

```
&SYSTEM
  ibrav = 0, nat = 28, ntyp = 3
/
ATOMIC_SPECIES
Pa 231.04 Pa.upf
Cu 63.55 Cu.upf
Ag 107.87 Ag.upf
CELL_PARAMETERS angstrom
8.176 0.000 0.000
0.000 4.996 0.000
0.000 0.000 10.363
ATOMIC_POSITIONS angstrom
Pa 2.007 1.249 0.692
Pa 2.081 3.747 5.873
Pa 6.095 1.249 4.490
Pa 6.169 3.747 9.671
Cu 0.422 3.747 1.076
Cu 0.547 0.013 3.236
Cu 0.547 2.485 3.236
Cu 0.724 1.249 5.340
Cu 1.520 1.249 7.714
Cu 2.568 3.747 2.533
Cu 3.364 3.747 0.159
Cu 3.541 2.511 8.417
Cu 3.541 4.983 8.417
Cu 3.666 1.249 6.258
Cu 4.510 3.747 4.105
Cu 4.636 0.013 1.945
Cu 4.636 2.485 1.945
Cu 4.812 1.249 10.204
Cu 5.608 1.249 7.830
Cu 6.656 3.747 2.649
Cu 7.453 3.747 5.023
Cu 7.629 2.511 7.127
Cu 7.629 4.983 7.127
Cu 7.754 1.249 9.286
Ag 1.123 3.747 8.936
Ag 2.965 1.249 3.755
Ag 5.211 3.747 6.608
Ag 7.054 1.249 1.427
```

Output
energy relative to the elements: -0.04 eV per atom
density of states at the Fermi level: 24.65 states/eV per cell
total DFT energy (no corrections): -4.73 eV/atom
space-group type: Pnma
spin magnetization: 0.00 μB/cell

2.
PaCuAg | PBE-GGA | relaxed Values from VASP.

```
&SYSTEM
  ibrav = 0, nat = 6, ntyp = 3
/
ATOMIC_SPECIES
Pa 231.04 Pa.upf
Cu 63.55 Cu.upf
Ag 107.87 Ag.upf
CELL_PARAMETERS angstrom
3.433 0.000 0.000
0.000 3.433 0.000
0.000 0.000 10.299
ATOMIC_POSITIONS angstrom
Pa 0.858 0.858 2.422
Pa 2.575 2.575 7.877
Cu 0.858 2.575 0.000
Cu 2.575 0.858 0.000
Ag 0.858 0.858 5.900
Ag 2.575 2.575 4.399
```

Output
energy relative to the elements: 0.31 eV per atom
density of states at the Fermi level: 10.32 states/eV per cell
total DFT energy (no corrections): -5.17 eV/atom
space-group type: P4/nmm
distance to the lowest polymorph of the same formula: 241 meV/atom
spin magnetization: 2.18 μB/cell

3.
PaCuAg | PBE-GGA | relaxed Values from VASP.

```
&SYSTEM
  ibrav = 0, nat = 3, ntyp = 3
/
ATOMIC_SPECIES
Pa 231.04 Pa.upf
Cu 63.55 Cu.upf
Ag 107.87 Ag.upf
CELL_PARAMETERS angstrom
-1.570 1.570 5.736
1.570 -1.570 5.736
1.570 1.570 -5.736
ATOMIC_POSITIONS angstrom
Pa 0.000 0.000 0.000
Cu 0.000 0.000 7.646
Ag 0.000 0.000 3.448
```

Output
energy relative to the elements: 0.12 eV per atom
density of states at the Fermi level: 3.90 states/eV per cell
total DFT energy (no corrections): -5.36 eV/atom
space-group type: I4mm
distance to the lowest polymorph of the same formula: 50 meV/atom
spin magnetization: 0.00 μB/cell

4.
Pa2CuAg | PBE-GGA | relaxed Values from VASP.

```
&SYSTEM
  ibrav = 0, nat = 4, ntyp = 3
/
ATOMIC_SPECIES
Pa 231.04 Pa.upf
Cu 63.55 Cu.upf
Ag 107.87 Ag.upf
CELL_PARAMETERS angstrom
3.052 0.000 0.000
0.000 3.052 0.000
0.000 0.000 8.872
ATOMIC_POSITIONS angstrom
Pa 0.000 0.000 2.049
Pa 0.000 0.000 6.823
Cu 1.526 1.526 0.000
Ag 1.526 1.526 4.436
```

Output
energy relative to the elements: 0.14 eV per atom
density of states at the Fermi level: 6.19 states/eV per cell
total DFT energy (no corrections): -6.34 eV/atom
space-group type: P4/mmm
distance to the lowest polymorph of the same formula: 0 meV/atom
spin magnetization: 0.00 μB/cell

5.
PaCuAg2 | PBE-GGA | relaxed Values from VASP.

```
&SYSTEM
  ibrav = 0, nat = 4, ntyp = 3
/
ATOMIC_SPECIES
Pa 231.04 Pa.upf
Cu 63.55 Cu.upf
Ag 107.87 Ag.upf
CELL_PARAMETERS angstrom
1.469 0.848 10.526
-1.469 0.848 10.526
0.000 -1.696 10.526
ATOMIC_POSITIONS angstrom
Pa 0.000 0.000 0.000
Cu 0.000 0.000 15.789
Ag 0.000 0.000 3.123
Ag 0.000 0.000 28.455
```

Output
energy relative to the elements: 0.35 eV per atom
density of states at the Fermi level: 3.28 states/eV per cell
total DFT energy (no corrections): -4.48 eV/atom
space-group type: R-3m
spin magnetization: 0.02 μB/cell

6.
PaCuAg | PBE-GGA | relaxed Values from VASP.

```
&SYSTEM
  ibrav = 0, nat = 3, ntyp = 3
/
ATOMIC_SPECIES
Pa 231.04 Pa.upf
Cu 63.55 Cu.upf
Ag 107.87 Ag.upf
CELL_PARAMETERS angstrom
4.671 0.000 0.000
-2.336 4.046 0.000
0.000 0.000 3.083
ATOMIC_POSITIONS angstrom
Pa 0.000 0.000 0.000
Cu 2.336 1.349 1.542
Ag 0.000 2.697 1.542
```

Output
energy relative to the elements: 0.07 eV per atom
density of states at the Fermi level: 2.78 states/eV per cell
total DFT energy (no corrections): -5.41 eV/atom
space-group type: P-6m2
distance to the lowest polymorph of the same formula: 0 meV/atom
spin magnetization: 0.00 μB/cell

7.
PaCu2Ag | PBE-GGA | relaxed Values from VASP.

```
&SYSTEM
  ibrav = 0, nat = 4, ntyp = 3
/
ATOMIC_SPECIES
Pa 231.04 Pa.upf
Cu 63.55 Cu.upf
Ag 107.87 Ag.upf
CELL_PARAMETERS angstrom
0.000 3.294 3.294
3.294 0.000 3.294
3.294 3.294 0.000
ATOMIC_POSITIONS angstrom
Pa 0.000 0.000 0.000
Cu 1.647 1.647 1.647
Cu 4.942 4.942 4.942
Ag 3.294 3.294 3.294
```

Output
energy relative to the elements: 0.12 eV per atom
density of states at the Fermi level: 5.23 states/eV per cell
total DFT energy (no corrections): -5.02 eV/atom
space-group type: Fm-3m
distance to the lowest polymorph of the same formula: 26 meV/atom
spin magnetization: 0.00 μB/cell

8.
PaCu2Ag | PBE-GGA | relaxed Values from VASP.

```
&SYSTEM
  ibrav = 0, nat = 4, ntyp = 3
/
ATOMIC_SPECIES
Pa 231.04 Pa.upf
Cu 63.55 Cu.upf
Ag 107.87 Ag.upf
CELL_PARAMETERS angstrom
3.101 0.000 0.000
0.000 3.101 0.000
0.000 0.000 7.125
ATOMIC_POSITIONS angstrom
Pa 0.000 0.000 0.000
Cu 1.550 1.550 1.999
Cu 1.550 1.550 5.126
Ag 0.000 0.000 3.563
```

Output
energy relative to the elements: 0.09 eV per atom
density of states at the Fermi level: 3.48 states/eV per cell
total DFT energy (no corrections): -5.04 eV/atom
space-group type: P4/mmm
distance to the lowest polymorph of the same formula: 0 meV/atom
spin magnetization: 0.00 μB/cell

9.
PaCuAgPt | PBE-GGA | relaxed Values from VASP.

```
&SYSTEM
  ibrav = 0, nat = 4, ntyp = 4
/
ATOMIC_SPECIES
Pa 231.04 Pa.upf
Cu 63.55 Cu.upf
Ag 107.87 Ag.upf
Pt 195.08 Pt.upf
CELL_PARAMETERS angstrom
0.000 3.357 3.357
3.357 0.000 3.357
3.357 3.357 0.000
ATOMIC_POSITIONS angstrom
Pa 0.000 0.000 0.000
Cu 5.035 5.035 5.035
Ag 3.357 3.357 3.357
Pt 1.678 1.678 1.678
```

Output
energy relative to the elements: -0.29 eV per atom
density of states at the Fermi level: 3.25 states/eV per cell
total DFT energy (no corrections): -5.91 eV/atom
space-group type: F-43m
spin magnetization: 0.00 μB/cell

10.
Pa2CuAgS6 | PBE-GGA | relaxed Values from VASP.

```
&SYSTEM
  ibrav = 0, nat = 10, ntyp = 4
/
ATOMIC_SPECIES
Pa 231.04 Pa.upf
Cu 63.55 Cu.upf
Ag 107.87 Ag.upf
S 32.06 S.upf
CELL_PARAMETERS angstrom
6.457 0.000 0.000
2.981 5.823 0.000
2.839 1.595 6.187
ATOMIC_POSITIONS angstrom
Pa 0.000 0.000 0.000
Pa 6.122 3.735 3.228
Cu 9.347 4.805 3.153
Ag 3.080 1.631 0.592
S 4.791 5.634 4.504
S 4.136 3.845 1.448
S 5.050 1.838 4.761
S 7.496 5.538 1.808
S 8.246 3.611 4.765
S 7.211 1.849 1.693
```

Output
total DFT energy (no corrections): -6.14 eV/atom
space-group type: P1
E_form (uncorrected): -1.0729 eV/atom
spin magnetization: 0.00 μB/cell

11.
Pa2CuAg2S6 | PBE-GGA | relaxed Values from VASP.

```
&SYSTEM
  ibrav = 0, nat = 11, ntyp = 4
/
ATOMIC_SPECIES
Pa 231.04 Pa.upf
Cu 63.55 Cu.upf
Ag 107.87 Ag.upf
S 32.06 S.upf
CELL_PARAMETERS angstrom
3.315 -6.260 0.000
3.315 6.260 0.000
-2.393 0.000 6.130
ATOMIC_POSITIONS angstrom
Pa 3.315 4.243 0.000
Pa 3.315 -4.243 0.000
Cu 3.315 0.000 0.000
Ag 2.118 2.067 3.065
Ag 2.118 -2.067 3.065
S -0.190 2.289 4.670
S 1.397 0.000 1.271
S -0.190 -2.289 4.670
S 4.426 2.289 1.460
S 2.839 0.000 4.859
S 4.426 -2.289 1.460
```

Output
density of states at the Fermi level: 7.88 states/eV per cell
total DFT energy (no corrections): -5.77 eV/atom
space-group type: C2/m
E_form (uncorrected): -0.9033 eV/atom
spin magnetization: 1.08 μB/cell

12.
PaCuAg2Se4 | PBE-GGA | relaxed Values from VASP.

```
&SYSTEM
  ibrav = 0, nat = 8, ntyp = 4
/
ATOMIC_SPECIES
Pa 231.04 Pa.upf
Cu 63.55 Cu.upf
Ag 107.87 Ag.upf
Se 78.96 Se.upf
CELL_PARAMETERS angstrom
-3.322 3.508 3.963
3.322 -3.508 3.963
3.322 3.508 -3.963
ATOMIC_POSITIONS angstrom
Pa 0.000 0.000 0.000
Cu 3.322 0.000 0.000
Ag 1.492 3.508 0.000
Ag 1.830 0.000 3.963
Se 1.911 1.390 -1.415
Se 4.734 1.390 1.415
Se 1.412 2.117 2.548
Se -1.412 2.117 5.378
```

Output
total DFT energy (no corrections): -4.68 eV/atom
space-group type: I222
E_form (uncorrected): -0.5248 eV/atom
spin magnetization: 0.00 μB/cell

13.
PaCu2Ag3Se6 | PBE-GGA | relaxed Values from VASP.

```
&SYSTEM
  ibrav = 0, nat = 12, ntyp = 4
/
ATOMIC_SPECIES
Pa 231.04 Pa.upf
Cu 63.55 Cu.upf
Ag 107.87 Ag.upf
Se 78.96 Se.upf
CELL_PARAMETERS angstrom
3.562 -5.513 0.000
3.562 5.513 0.000
-2.238 0.000 6.567
ATOMIC_POSITIONS angstrom
Pa 0.000 0.000 0.000
Cu 3.562 1.950 0.000
Cu 3.562 -1.950 0.000
Ag 2.443 4.017 3.284
Ag 2.443 0.000 3.284
Ag 2.443 -4.017 3.284
Se 1.001 1.967 1.656
Se 0.390 0.000 5.276
Se 1.001 -1.967 1.656
Se 3.885 1.967 4.911
Se 4.495 0.000 1.291
Se 3.885 -1.967 4.911
```

Output
density of states at the Fermi level: 6.59 states/eV per cell
total DFT energy (no corrections): -4.34 eV/atom
space-group type: C2/m
E_form (uncorrected): -0.4116 eV/atom
spin magnetization: 0.00 μB/cell